Entry 1:
# GGA-PBE Nd2AlHg, relaxed
data_Nd2AlHg
_chemical_formula_sum 'Nd2 Al1 Hg1'
_cell_length_a 3.617
_cell_length_b 3.617
_cell_length_c 8.241
_cell_angle_alpha 90.00
_cell_angle_beta 90.00
_cell_angle_gamma 90.00
_symmetry_space_group_name_H-M 'P 4/m m m'
_symmetry_Int_Tables_number 123
_symmetry_space_group_name_Hall '-P 4 2'
loop_
_atom_site_label
_atom_site_type_symbol
_atom_site_fract_x
_atom_site_fract_y
_atom_site_fract_z
_atom_site_occupancy
Nd1 Nd 0.000 0.000 0.240 1
Al1 Al 0.500 0.500 0.000 1
Hg1 Hg 0.500 0.500 0.500 1
# Energy of formation: -418 meV/atom


Entry 2:
# GGA-PBE Nd3AlHg, relaxed
data_Nd3AlHg
_chemical_formula_sum 'Nd24 Al8 Hg8'
_cell_length_a 10.394
_cell_length_b 11.427
_cell_length_c 9.764
_cell_angle_alpha 90.00
_cell_angle_beta 90.00
_cell_angle_gamma 90.00
_symmetry_space_group_name_H-M 'C m c e'
_symmetry_Int_Tables_number 64
_symmetry_space_group_name_Hall '-C 2ac 2'
loop_
_atom_site_label
_atom_site_type_symbol
_atom_site_fract_x
_atom_site_fract_y
_atom_site_fract_z
_atom_site_occupancy
Nd1 Nd 0.000 0.061 0.147 1
Nd2 Nd 0.184 0.129 0.578 1
Al1 Al 0.250 0.142 0.250 1
Hg1 Hg 0.000 0.221 0.857 1
# Energy of formation: -238 meV/atom


Entry 3:
# GGA-PBE Nd2AlHg, relaxed
data_Nd2AlHg
_chemical_formula_sum 'Nd8 Al4 Hg4'
_cell_length_a 7.612
_cell_length_b 7.612
_cell_length_c 7.612
_cell_angle_alpha 90.00
_cell_angle_beta 90.00
_cell_angle_gamma 90.00
_symmetry_space_group_name_H-M 'F m -3 m'
_symmetry_Int_Tables_number 225
_symmetry_space_group_name_Hall '-F 4 2 3'
loop_
_atom_site_label
_atom_site_type_symbol
_atom_site_fract_x
_atom_site_fract_y
_atom_site_fract_z
_atom_site_occupancy
Nd1 Nd 0.250 0.250 0.250 1
Al1 Al 0.000 0.000 0.000 1
Hg1 Hg 0.000 0.000 0.500 1
# Energy of formation: -379 meV/atom


Entry 4:
# GGA-PBE Nd3AlHg, relaxed
data_Nd3AlHg
_chemical_formula_sum 'Nd12 Al4 Hg4'
_cell_length_a 5.407
_cell_length_b 19.710
_cell_length_c 5.437
_cell_angle_alpha 90.00
_cell_angle_beta 90.00
_cell_angle_gamma 90.00
_symmetry_space_group_name_H-M 'C m c m'
_symmetry_Int_Tables_number 63
_symmetry_space_group_name_Hall '-C 2c 2'
loop_
_atom_site_label
_atom_site_type_symbol
_atom_site_fract_x
_atom_site_fract_y
_atom_site_fract_z
_atom_site_occupancy
Nd1 Nd 0.000 0.058 0.250 1
Nd2 Nd 0.000 0.247 0.250 1
Nd3 Nd 0.000 0.432 0.250 1
Al1 Al 0.000 0.154 0.750 1
Hg1 Hg 0.000 0.347 0.750 1
# Energy of formation: -289 meV/atom


Per-record polymorph energy (0 for the lowest one), meV per atom: 0; 50; 39; 0
Per-record magnetic moment, μB/cell: 0.0; 0.0; 0.0; 0.0